Compound: Ni3H3Au
Source: Alexandria via LeMat-Bulk
Functional: GGA-PBE
Structure: optimized geometry

Values from the calculation:
For the total energy, the calculation gives -4.34 eV/atom. As for the crystal system: monoclinic. As for the space group: P2_1/m, No. 11.

Unit cell a=2.7104 b=7.3089 c=7.3072 alpha=119.98 beta=90.00 gamma=90.00
Last column: nearest neighbours and their distance in Å.
Element x y z (fractional)
1 Ni 0.2500 0.0289 0.3367  3 H 1.65
2 Ni 0.2500 0.6641 0.6930  3 H 1.65
3 Ni 0.2500 0.3073 0.9709  3 H 1.65
4 Ni 0.7500 0.9711 0.6633  3 H 1.65
5 Ni 0.7500 0.3359 0.3070  3 H 1.65
6 Ni 0.7500 0.6927 0.0291  3 H 1.65
7 H 0.2500 0.7630 0.9518  3 Ni 1.65
8 H 0.2500 0.0486 0.8109  3 Ni 1.65
9 H 0.2500 0.1884 0.2373  3 Ni 1.65
10 H 0.7500 0.2370 0.0482  3 Ni 1.65
11 H 0.7500 0.9514 0.1891  3 Ni 1.65
12 H 0.7500 0.8116 0.7627  3 Ni 1.65
13 Au 0.2500 0.6663 0.3333  9 Ni 2.64-2.69, 2 Au 2.71
14 Au 0.7500 0.3337 0.6667  9 Ni 2.64-2.69, 2 Au 2.71



Compound: CeEuCdHg
Source: Alexandria via LeMat-Bulk
Functional: GGA-PBE
Structure: optimized geometry

Values from the calculation:
As for the crystal system: cubic. As for the space group: F-43m, No. 216. The calculation puts the formation enthalpy at 0 K at -0.3038 eV per atom.

Unit cell a=5.4781 b=5.4781 c=5.4781 alpha=60.00 beta=60.00 gamma=60.00
Last column: nearest neighbours and their distance in Å.
Element x y z (fractional)
1 Eu 0.5000 0.5000 0.5000  4 Cd 3.35, 4 Hg 3.35
2 Hg 0.2500 0.2500 0.2500  4 Ce 3.35, 4 Eu 3.35
3 Ce 0.0000 0.0000 0.0000  4 Hg 3.35, 4 Cd 3.35
4 Cd 0.7500 0.7500 0.7500  4 Ce 3.35, 4 Eu 3.35



Compound: HIrRu2Rh
Source: Alexandria via LeMat-Bulk
Functional: GGA-PBE
Structure: optimized geometry

Values from the calculation:
For the total energy, the calculation gives -7.52 eV/atom. As for the crystal system: tetragonal. As for the space group: P4/mmm, No. 123.

Unit cell a=3.8871 b=3.8871 c=3.9018 alpha=90.00 beta=90.00 gamma=90.00
Last column: nearest neighbours and their distance in Å.
Element x y z (fractional)
1 Ru 0.0000 0.5000 0.0000  2 H 1.94
2 Ru 0.5000 0.0000 0.0000  2 H 1.94
3 Ir 0.0000 0.0000 0.5000  2 H 1.95
4 Rh 0.5000 0.5000 0.5000  4 Ir 2.75, 8 Ru 2.75
5 H 0.0000 0.0000 0.0000  4 Ru 1.94, 2 Ir 1.95



Compound: MgTl2Br4
Source: Alexandria via LeMat-Bulk
Functional: GGA-PBE
Structure: optimized geometry

Values from the calculation:
For the total energy, the calculation gives -2.97 eV/atom. As for the crystal system: monoclinic. As for the space group: P2_1/m, No. 11.

Unit cell a=7.6871 b=7.6838 c=9.2104 alpha=90.00 beta=108.27 gamma=90.00
Last column: nearest neighbours and their distance in Å.
Element x y z (fractional)
1 Mg 0.2651 0.7500 0.1993  4 Br 2.50-2.52
2 Mg 0.7349 0.2500 0.8007  4 Br 2.50-2.52
3 Tl 0.7202 0.7500 0.0540  6 Br 3.31-3.57
4 Tl 0.2798 0.2500 0.9460  6 Br 3.31-3.57
5 Tl 0.2447 0.2500 0.4377  6 Br 3.41-3.48
6 Tl 0.7553 0.7500 0.5623  6 Br 3.41-3.48
7 Br 0.4871 0.4986 0.2609  1 Mg 2.52
8 Br 0.0779 0.7500 0.9228  1 Mg 2.50
9 Br 0.9221 0.2500 0.0772  1 Mg 2.50
10 Br 0.4871 0.0014 0.2609  1 Mg 2.52
11 Br 0.9282 0.2500 0.6275  1 Mg 2.50
12 Br 0.5129 0.9986 0.7391  1 Mg 2.52
13 Br 0.5129 0.5014 0.7391  1 Mg 2.52
14 Br 0.0718 0.7500 0.3725  1 Mg 2.50



Compound: LiTbPa2As4
Source: Alexandria via LeMat-Bulk
Functional: GGA-PBE
Structure: optimized geometry

Values from the calculation:
As for the crystal system: monoclinic. As for the space group: P2/m, No. 10. The calculation puts the formation enthalpy at 0 K at -1.0253 eV per atom.

Unit cell a=4.1263 b=6.9635 c=7.1467 alpha=70.07 beta=90.00 gamma=90.00
Last column: nearest neighbours and their distance in Å.
Element x y z (fractional)
1 Li 0.5000 0.5000 0.0000  6 As 2.87-2.91
2 Tb 0.0000 0.5000 0.5000  6 As 2.91-2.93
3 Pa 0.0000 0.0000 0.0000  6 As 2.85-2.87
4 Pa 0.5000 0.0000 0.5000  6 As 2.87-2.90
5 As 0.0000 0.7564 0.7502  3 Pa 2.85-2.87, 2 Li 2.91, 1 Tb 2.93
6 As 0.0000 0.2436 0.2498  3 Pa 2.85-2.87, 2 Li 2.91, 1 Tb 2.93
7 As 0.5000 0.7526 0.2451  3 Pa 2.87-2.90, 1 Li 2.87, 2 Tb 2.91
8 As 0.5000 0.2474 0.7549  3 Pa 2.87-2.90, 1 Li 2.87, 2 Tb 2.91



Compound: SrSbBr
Source: Alexandria via LeMat-Bulk
Functional: GGA-PBE
Structure: optimized geometry

Values from the calculation:
For the total energy, the calculation gives -3.89 eV/atom. As for the crystal system: tetragonal. As for the space group: P4/nmm, No. 129.

Unit cell a=4.3949 b=4.3949 c=9.6634 alpha=90.00 beta=90.00 gamma=90.00
Last column: nearest neighbours and their distance in Å.
Element x y z (fractional)
1 Sr 0.8943 0.6057 0.2236  5 Br 3.27-3.31, 4 Sb 3.46
2 Sr 0.3943 0.1057 0.7764  5 Br 3.27-3.31, 4 Sb 3.46
3 Sb 0.3946 0.6054 0.5000  4 Sb 3.11, 4 Sr 3.46
4 Sb 0.8946 0.1054 0.5000  4 Sb 3.11, 4 Sr 3.46
5 Br 0.8941 0.6059 0.8813  5 Sr 3.27-3.31
6 Br 0.3941 0.1059 0.1187  5 Sr 3.27-3.31



Compound: In2HgMo
Source: Alexandria via LeMat-Bulk
Functional: GGA-PBE
Structure: optimized geometry

Values from the calculation:
As for the crystal system: orthorhombic. As for the space group: Cmmm, No. 65. The calculation puts the formation enthalpy at 0 K at 0.3932 eV per atom.

Unit cell a=6.8785 b=5.2859 c=3.0924 alpha=89.97 beta=63.34 gamma=121.29
Last column: nearest neighbours and their distance in Å.
Element x y z (fractional)
1 Hg 0.5000 0.5000 0.0000  8 In 3.06, 2 Mo 3.07, 2 Hg 3.09
2 In 0.0000 0.0000 0.0000  4 Hg 3.06, 4 Mo 3.06, 4 In 3.07-3.09
3 In 0.5000 0.0000 0.5000  4 Mo 3.06, 4 Hg 3.06, 4 In 3.07-3.09
4 Mo 0.0000 0.5000 0.5000  8 In 3.06, 2 Hg 3.07, 2 Mo 3.09



Compound: Pa2Ge3Pt2
Source: Alexandria via LeMat-Bulk
Functional: GGA-PBE
Structure: optimized geometry

Values from the calculation:
As for the crystal system: orthorhombic. As for the space group: Cmcm, No. 63. The calculation puts the formation enthalpy at 0 K at -0.6520 eV per atom.

Unit cell a=4.2861 b=6.8982 c=9.5506 alpha=90.00 beta=102.97 gamma=90.00
Last column: nearest neighbours and their distance in Å.
Element x y z (fractional)
1 Pa 0.1546 0.2500 0.3092  6 Pt 3.02-3.20, 6 Ge 3.04-3.20
2 Pa 0.8454 0.7500 0.6908  6 Pt 3.02-3.20, 6 Ge 3.04-3.20
3 Pa 0.9470 0.2500 0.8941  9 Ge 3.05-3.28
4 Pa 0.0530 0.7500 0.1059  9 Ge 3.05-3.28
5 Ge 0.2181 0.7500 0.4361  6 Pt 2.62-2.63
6 Ge 0.7819 0.2500 0.5639  6 Pt 2.62-2.63
7 Ge 0.5614 0.4368 0.1227  2 Ge 2.44-2.58, 1 Pt 2.53
8 Ge 0.4386 0.5632 0.8773  2 Ge 2.44-2.58, 1 Pt 2.53
9 Ge 0.4386 0.9368 0.8773  2 Ge 2.44-2.58, 1 Pt 2.53
10 Ge 0.5614 0.0632 0.1227  2 Ge 2.44-2.58, 1 Pt 2.53
11 Pt 0.6913 0.9572 0.3826  4 Ge 2.53-2.63
12 Pt 0.3087 0.0428 0.6174  4 Ge 2.53-2.63
13 Pt 0.3087 0.4572 0.6174  4 Ge 2.53-2.63
14 Pt 0.6913 0.5428 0.3826  4 Ge 2.53-2.63



Compound: VSe2BrCl
Source: Alexandria via LeMat-Bulk
Functional: GGA-PBE
Structure: optimized geometry

Values from the calculation:
For the total energy, the calculation gives -2.77 eV/atom. As for the crystal system: tetragonal. As for the space group: P4/mmm, No. 123.

Unit cell a=4.9880 b=5.1483 c=4.9880 alpha=90.00 beta=90.00 gamma=90.00
Last column: nearest neighbours and their distance in Å.
Element x y z (fractional)
1 Cl 0.0000 0.0000 0.0000  4 Se 2.49, 2 Br 2.57
2 Se 0.0000 0.0000 0.5000  2 Cl 2.49
3 Se 0.5000 0.0000 0.0000  2 Cl 2.49
4 Br 0.0000 0.5000 0.0000  2 Cl 2.57
5 V 0.5000 0.5000 0.5000  4 Br 3.53, 8 Se 3.58



Compound: KTc2HO8
Source: Alexandria via LeMat-Bulk
Functional: GGA-PBE
Structure: optimized geometry

Values from the calculation:
For the total energy, the calculation gives -6.62 eV/atom. As for the crystal system: monoclinic. As for the space group: C2/m, No. 12.

Unit cell a=5.1593 b=6.7616 c=7.2441 alpha=67.27 beta=69.14 gamma=67.57
Last column: nearest neighbours and their distance in Å.
Element x y z (fractional)
1 K 0.5000 0.5000 0.5000  2 O 2.71
2 Tc 0.3159 0.2190 0.1492  4 O 1.73-1.75
3 Tc 0.6841 0.7810 0.8508  4 O 1.73-1.75
4 H 0.0000 0.0000 0.0000  4 O 1.71
5 O 0.8442 0.6662 0.6454  1 Tc 1.74
6 O 0.6701 0.5741 0.0858  1 Tc 1.73
7 O 0.1558 0.3338 0.3546  1 Tc 1.74
8 O 0.3299 0.4259 0.9142  1 Tc 1.73
9 O 0.6658 0.0473 0.1659  1 H 1.71, 1 Tc 1.75
10 O 0.3342 0.9527 0.8341  1 H 1.71, 1 Tc 1.75
11 O 0.1211 0.0473 0.1659  1 H 1.71, 1 Tc 1.75
12 O 0.8789 0.9527 0.8341  1 H 1.71, 1 Tc 1.75



Compound: NiHgW4
Source: Alexandria via LeMat-Bulk
Functional: GGA-PBE
Structure: optimized geometry

Values from the calculation:
As for the crystal system: cubic. As for the space group: F-43m, No. 216. The calculation puts the formation enthalpy at 0 K at 0.8308 eV per atom.

Unit cell a=5.2889 b=5.2889 c=5.2889 alpha=60.00 beta=60.00 gamma=60.00
Last column: nearest neighbours and their distance in Å.
Element x y z (fractional)
1 Ni 0.0000 0.0000 0.0000  12 W 3.10, 4 Hg 3.24
2 Hg 0.2500 0.2500 0.2500  12 W 3.10, 4 Ni 3.24
3 W 0.6252 0.6252 0.1245  6 W 2.64-2.65
4 W 0.6252 0.1245 0.6252  6 W 2.64-2.65
5 W 0.6252 0.6252 0.6252  6 W 2.64-2.65
6 W 0.1245 0.6252 0.6252  6 W 2.64-2.65



Compound: CsScBr4
Source: Alexandria via LeMat-Bulk
Functional: GGA-PBE
Structure: optimized geometry

Values from the calculation:
For the total energy, the calculation gives -4.05 eV/atom. As for the crystal system: monoclinic. As for the space group: P2_1/c, No. 14.

Unit cell a=9.7733 b=10.5136 c=11.0200 alpha=90.00 beta=90.00 gamma=103.36
Last column: nearest neighbours and their distance in Å.
Element x y z (fractional)
1 Cs 0.4023 0.2285 0.8430  9 Br 3.79-4.19
2 Cs 0.0977 0.2715 0.3430  9 Br 3.79-4.19
3 Cs 0.9023 0.7285 0.6570  9 Br 3.79-4.19
4 Cs 0.5977 0.7715 0.1570  9 Br 3.79-4.19
5 Sc 0.8908 0.1934 0.8328  4 Br 2.50-2.51
6 Sc 0.6092 0.3066 0.3328  4 Br 2.50-2.51
7 Sc 0.3908 0.6934 0.6672  4 Br 2.50-2.51
8 Sc 0.1092 0.8066 0.1672  4 Br 2.50-2.51
9 Br 0.6859 0.0132 0.8899  1 Sc 2.50
10 Br 0.0171 0.1138 0.6604  1 Sc 2.51
11 Br 0.7143 0.1198 0.2751  1 Sc 2.50
12 Br 0.4339 0.2425 0.5006  1 Sc 2.51
13 Br 0.7857 0.3802 0.7751  1 Sc 2.50
14 Br 0.0661 0.2575 0.0006  1 Sc 2.51
15 Br 0.4829 0.3862 0.1604  1 Sc 2.51
16 Br 0.8141 0.4868 0.3899  1 Sc 2.50
17 Br 0.1859 0.5132 0.6101  1 Sc 2.50
18 Br 0.5171 0.6138 0.8396  1 Sc 2.51
19 Br 0.9339 0.7425 0.9994  1 Sc 2.51
20 Br 0.2143 0.6198 0.2249  1 Sc 2.50
21 Br 0.5661 0.7575 0.4994  1 Sc 2.51
22 Br 0.2857 0.8802 0.7249  1 Sc 2.50
23 Br 0.9829 0.8862 0.3396  1 Sc 2.51
24 Br 0.3141 0.9868 0.1101  1 Sc 2.50



- Which formula does entry 7 have?
  In2HgMo



Please write out number 3 again, unchanged.
Compound: HIrRu2Rh
Source: Alexandria via LeMat-Bulk
Functional: GGA-PBE
Structure: optimized geometry

Values from the calculation:
For the total energy, the calculation gives -7.52 eV/atom. As for the crystal system: tetragonal. As for the space group: P4/mmm, No. 123.

Unit cell a=3.8871 b=3.8871 c=3.9018 alpha=90.00 beta=90.00 gamma=90.00
Last column: nearest neighbours and their distance in Å.
Element x y z (fractional)
1 Ru 0.0000 0.5000 0.0000  2 H 1.94
2 Ru 0.5000 0.0000 0.0000  2 H 1.94
3 Ir 0.0000 0.0000 0.5000  2 H 1.95
4 Rh 0.5000 0.5000 0.5000  4 Ir 2.75, 8 Ru 2.75
5 H 0.0000 0.0000 0.0000  4 Ru 1.94, 2 Ir 1.95